Entry from Alexandria via LeMat-Bulk: Ho2ZnGePt6 after structural relaxation (PBE-GGA).

Lattice parameters (Å, degrees): 5.554 8.333 8.333 38.93 70.54 90.00
Sites, in units of the cell vectors:
Ho1 0.702 0.298 0.597
Ho2 0.298 0.702 0.403
Zn1 0.000 0.000 0.000
Ge1 0.500 0.500 0.000
Pt1 0.250 0.246 0.501
Pt2 0.754 0.750 0.997
Pt3 0.250 0.750 0.997
Pt4 0.750 0.250 0.003
Pt5 0.246 0.250 0.003
Pt6 0.750 0.754 0.499

Output
The value obtained for the mass density is 13.24 g/cm³. The value obtained for the total energy is -59.19 eV per cell.

Entry from Alexandria via LeMat-Bulk: GdDyOsRu after structural relaxation (PBE-GGA).

Lattice parameters (Å, degrees): 4.832 4.832 4.832 60.00 60.00 60.00
Each line ends with the local moment (μB).
Sites, in units of the cell vectors:
Ru1 0.500 0.500 0.500  -0.06
Gd1 0.750 0.750 0.750  6.99
Os1 0.000 0.000 0.000  -0.07
Dy1 0.250 0.250 0.250  0.01

Output
The value obtained for the mass density is 12.72 g/cm³. The value obtained for the total energy is -39.74 eV per cell.

Entry from Alexandria via LeMat-Bulk: Th3TiIn12 after structural relaxation (PBE-GGA).

Lattice parameters (Å, degrees): 4.687 4.687 18.484 90.00 90.00 90.00
Sites, in units of the cell vectors:
Th1 0.000 0.000 0.240
Th2 0.000 0.000 0.500
Th3 0.000 0.000 0.760
Ti1 0.000 0.000 0.000
In1 0.500 0.500 0.000
In2 0.500 0.500 0.243
In3 0.500 0.500 0.500
In4 0.500 0.500 0.757
In5 0.500 0.000 0.111
In6 0.500 0.000 0.370
In7 0.500 0.000 0.630
In8 0.500 0.000 0.889
In9 0.000 0.500 0.111
In10 0.000 0.500 0.370
In11 0.000 0.500 0.630
In12 0.000 0.500 0.889

Output
The value obtained for the mass density is 8.68 g/cm³. The value obtained for the total energy is -67.06 eV per cell.

Entry from Alexandria via LeMat-Bulk: LaPr2ScTe4 after structural relaxation (PBE-GGA).

Lattice parameters (Å, degrees): 4.412 7.736 7.790 108.85 90.00 90.00
Sites, in units of the cell vectors:
La1 0.500 0.500 0.000
Pr1 0.500 0.000 0.500
Pr2 0.000 0.500 0.500
Sc1 0.000 0.000 0.000
Te1 0.500 0.230 0.231
Te2 0.500 0.770 0.769
Te3 0.000 0.239 0.758
Te4 0.000 0.761 0.242

Output
The uncorrected formation energy is -1.366 eV/atom. The value obtained for the mass density is 6.44 g/cm³.